(1)
The following is a DFT calculation (PBE) of a geometry-optimized La6P2HCl3 structure.

abc: 7.168 7.168 7.263
angles: 99.63 99.63 119.92
Sites, in units of the cell vectors:
La 0.077 0.409 0.231
P 0.666 0.334 0.000
La 0.409 0.077 0.231
H 0.000 0.000 0.000
Cl 0.173 0.827 0.500
Cl 0.827 0.173 0.500
P 0.334 0.666 0.000
La 0.591 0.923 0.769
La 0.923 0.591 0.769
La 0.744 0.744 0.235
Cl 0.500 0.500 0.500
La 0.256 0.256 0.765

Space group: C2/m, No. 12
Crystal system: monoclinic
Mass density: 5.5 g cm⁻³
DFT total energy: -66.3 eV/cell
Magnetization: 0.0 Bohr magnetons per cell


(2)
The following is a DFT calculation (PBE) of a geometry-optimized Sr7Li structure.

abc: 5.866 5.866 12.557
angles: 103.51 103.51 90.00
Sites, in units of the cell vectors:
Sr 0.748 0.748 0.496
Sr 0.500 0.500 0.000
Sr 0.619 0.119 0.238
Li 0.000 0.000 0.000
Sr 0.252 0.252 0.504
Sr 0.381 0.881 0.762
Sr 0.119 0.619 0.238
Sr 0.881 0.381 0.762

Space group: I4/mmm, No. 139
Energy of formation from the pure elements: 0.040 eV/atom
Crystal system: tetragonal
Mass density: 2.5 g cm⁻³
Offset from the most stable computed form: 0 meV per atom
Magnetization: 0.0 Bohr magnetons per cell